# 1
DFT (PBE) results for a relaxed structure of SmNbN2.

Calculated values
Symmetry   Imm2
E_form (uncorrected)   -0.806 eV/atom

The structure in extended XYZ format:
```
4
Lattice="-0.5156 -2.3877 2.0248 3.1328 -0.3397 0.3956 -1.4519 5.0261 3.0712" Properties=species:S:1:pos:R:3 pbc="T T T"
Sm 2.3160 0.3212 1.4995
Nb 0.6772 2.3215 3.4410
N -0.9237 3.3490 4.2484
N 0.4525 0.2638 3.4445
```

# 2
DFT (PBE) results for a relaxed structure of AcNd2Tl3Te6.

Calculated values
Symmetry   C2/m
E_form (uncorrected)   -1.096 eV/atom

The structure in extended XYZ format:
```
12
Lattice="8.0605 0.0016 0.0002 -4.0269 6.9825 0.0002 -1.3451 -2.3290 8.1680" Properties=species:S:1:pos:R:3 pbc="T T T"
Te 0.0449 0.0778 6.3610
Te 2.6436 4.5773 1.8073
Te 2.7769 0.0017 1.8281
Te -0.0884 4.6534 6.3402
Te -1.3863 2.4061 1.8281
Te 4.0747 2.2490 6.3402
Ac 0.0000 0.0000 0.0000
Tl 1.3442 2.3275 4.0841
Tl -2.7128 4.6707 4.0841
Tl 5.4013 -0.0156 4.0841
Nd -0.0014 4.6576 0.0002
Nd 4.0350 2.3265 0.0002
```

# 3
DFT (PBE) results for a relaxed structure of PmSn12Pt4.

Calculated values
Formation enthalpy at 0 K   -666.6 kJ/mol of formula units
Symmetry   Im-3

The structure in extended XYZ format:
```
17
Lattice="-6.5174 1.8844 -4.6719 6.8572 0.4536 -4.5417 -0.8469 -7.6490 2.9375" Properties=species:S:1:pos:R:3 pbc="T T T"
Pm 0.0000 0.0000 0.0000
Sn 2.7868 -5.6386 -1.3280
Sn 4.2787 -1.8920 -3.6815
Sn 1.0655 -0.3345 -3.4123
Sn 1.1723 0.4003 -6.3079
Sn -3.2939 0.3276 -4.9481
Sn -1.5726 -4.9765 -2.8638
Sn 0.8979 -3.3773 -0.8239
Sn -2.4713 -1.6073 -2.0495
Sn -4.7857 -3.4190 -2.5945
Sn -1.4050 -1.9338 -5.4522
Sn 1.9642 -3.7037 -4.2266
Sn -1.6794 -5.7113 0.0318
Pt -3.2587 0.9422 -2.3359
Pt 3.4286 0.2268 -2.2708
Pt -0.4234 -3.8245 1.4687
Pt -0.2535 -2.6555 -3.1380
```

# 4
DFT (PBE) results for a relaxed structure of TcSCl3.

Calculated values
ΔE to the lowest computed polymorph   0 meV/atom
Symmetry   C2/c
E_form (uncorrected)   -0.540 eV/atom

The structure in extended XYZ format:
```
20
Lattice="-6.5787 3.0346 -3.5799 -6.4517 1.4024 3.9241 1.8434 11.2011 1.2454" Properties=species:S:1:pos:R:3 pbc="T T T"
Tc -5.2426 2.7409 3.3221
Tc -5.6395 5.7045 3.1620
Tc -5.9444 12.8973 -1.7325
Tc -5.5474 9.9337 -1.5724
Cl -10.7366 7.4771 0.9729
Cl -3.9577 11.6536 -1.2542
Cl -7.2292 3.9846 2.8438
Cl -10.1115 4.3528 0.3563
Cl -6.9100 7.9962 -2.1237
Cl -0.4503 8.1611 0.6167
Cl -7.0922 7.1366 2.0832
Cl -6.6299 3.6263 -2.0566
Cl -4.0948 8.5016 -0.4936
Cl -4.2770 7.6420 3.7133
Cl -1.0755 11.2854 1.2333
Cl -4.5570 12.0119 3.6462
S -4.2598 3.2617 1.3936
S -4.5192 5.2600 1.2902
S -6.6678 10.3781 0.2994
S -6.9272 12.3764 0.1960
```

# 5
DFT (PBE) results for a relaxed structure of Pr2Ni4Sb3Au.

Calculated values
Symmetry   P-4m2
E_form (uncorrected)   -0.622 eV/atom

The structure in extended XYZ format:
```
10
Lattice="-4.0267 0.9721 1.5734 0.7713 -2.5436 3.5455 3.8225 7.9489 4.8711" Properties=species:S:1:pos:R:3 pbc="T T T"
Ni -1.6277 -0.7857 2.5595
Ni 0.0000 0.0000 0.0000
Ni 0.3749 5.4526 3.8302
Ni 1.8198 1.7106 3.6004
Pr 3.2772 4.7413 5.4576
Pr -1.0825 2.4220 1.9730
Sb 0.8785 -0.2470 2.4008
Sb 1.3163 7.4102 5.0298
Sb 1.9112 3.9745 2.4356
Au 0.2835 3.1887 4.9951
```

# 6
DFT (PBE) results for a relaxed structure of Ti2MnGeC.

Calculated values
Formation enthalpy at 0 K   -206.8 kJ/mol of formula units
Symmetry   P4/mmm

The structure in extended XYZ format:
```
5
Lattice="4.1963 0.0000 0.0000 0.0000 4.1963 0.0000 0.0000 0.0000 3.7850" Properties=species:S:1:pos:R:3 pbc="T T T"
Ti 0.0000 2.0982 0.0000
Ti 2.0982 0.0000 0.0000
Ge 2.0982 2.0982 1.8925
C 0.0000 0.0000 0.0000
Mn 0.0000 0.0000 1.8925
```

# 7
DFT (PBE) results for a relaxed structure of Sm2AlHPt6.

Calculated values
Symmetry   R-3m

The structure in extended XYZ format:
```
10
Lattice="5.6875 -0.0064 0.0020 0.0074 6.9065 0.9112 2.8466 4.0332 4.9155" Properties=species:S:1:pos:R:3 pbc="T T T"
Pt 5.6946 7.4893 3.3373
Pt 4.2614 8.9275 5.3880
Pt 4.2800 2.0059 0.4408
Pt 7.1299 8.9242 5.3888
Pt 2.8468 3.4441 2.4915
Pt 1.4115 2.0091 0.4399
Sm 2.8503 6.6931 2.7812
Sm 5.6912 4.2402 3.0475
Al 0.0000 0.0000 0.0000
H 2.8474 3.4501 0.4566
```

# 8
DFT (PBE) results for a relaxed structure of CaZr2Au2.

Calculated values
ΔE to the lowest computed polymorph   0 meV/atom
Formation enthalpy at 0 K   -176.4 kJ/mol of formula units
Symmetry   P4/mbm

The structure in extended XYZ format:
```
10
Lattice="8.0569 0.0000 0.0000 0.0000 8.0569 0.0000 0.0000 0.0000 3.4781" Properties=species:S:1:pos:R:3 pbc="T T T"
Au 7.0219 5.0634 0.0000
Au 1.0349 2.9935 0.0000
Au 2.9935 7.0219 0.0000
Au 5.0634 1.0349 0.0000
Ca 0.0000 0.0000 0.0000
Ca 4.0284 4.0284 0.0000
Zr 6.7218 2.6934 1.7391
Zr 1.3350 5.3635 1.7391
Zr 2.6934 1.3350 1.7391
Zr 5.3635 6.7218 1.7391
```

# 9
DFT (PBE) results for a relaxed structure of La5Y.

Calculated values
ΔE to the lowest computed polymorph   181 meV/atom
Formation enthalpy at 0 K   112.8 kJ/mol of formula units
Symmetry   F-43m

The structure in extended XYZ format:
```
6
Lattice="3.2298 -5.9003 0.7572 0.0317 -3.0927 6.0211 -3.5349 -5.7030 0.8942" Properties=species:S:1:pos:R:3 pbc="T T T"
La 1.6305 -6.3136 4.3582
La -1.8180 -6.2130 4.4281
La -0.0683 -3.6740 1.9181
La -0.1877 -7.6443 1.7447
La -0.1715 -9.2209 4.8141
Y 0.0000 0.0000 0.0000
```

# 10
DFT (PBE) results for a relaxed structure of K2YCu.

Calculated values
ΔE to the lowest computed polymorph   369 meV/atom
Formation enthalpy at 0 K   213.2 kJ/mol of formula units
Symmetry   Cmmm

The structure in extended XYZ format:
```
4
Lattice="3.5663 0.0110 0.0000 -0.0441 3.5661 0.0000 0.0000 0.0000 11.5555" Properties=species:S:1:pos:R:3 pbc="T T T"
Cu 1.7611 1.7885 8.6666
Y 1.7611 1.7885 2.8889
K 0.0000 0.0000 6.4763
K 0.0000 0.0000 10.8568
```

# 11
DFT (PBE) results for a relaxed structure of ScTlZn.

Calculated values
Formation enthalpy at 0 K   -56.0 kJ/mol of formula units
Symmetry   Cmmm

The structure in extended XYZ format:
```
6
Lattice="-2.3912 0.7744 -3.4879 1.4292 -3.6720 -1.7953 -6.3358 -2.9739 1.0362" Properties=species:S:1:pos:R:3 pbc="T T T"
Sc -5.0024 -2.1068 -2.8889
Sc -5.8396 -3.8252 -0.0434
Zn -2.2521 -1.4804 -1.9844
Zn -2.7332 -2.9289 -4.6257
Tl -3.1878 -4.3930 -1.9893
Tl -6.2250 -5.2108 -2.7383
```

# 12
DFT (PBE) results for a relaxed structure of BaGdMgHg.

Calculated values
Formation enthalpy at 0 K   -62.0 kJ/mol of formula units
Symmetry   F-43m

The structure in extended XYZ format:
```
4
Lattice="5.6868 0.0000 0.0000 2.8434 4.9249 0.0000 2.8434 1.6416 4.6433" Properties=species:S:1:pos:R:3 pbc="T T T"
Hg 5.6868 3.2833 2.3216
Gd 8.5302 4.9249 3.4825
Mg 0.0000 0.0000 0.0000
Ba 2.8434 1.6416 1.1608
```

Number 1: VASP energy -0.63691 Ry per atom, total moment 0.00 μB per cell. Number 2: VASP energy -0.32307 Ry per atom, total moment 0.00 μB per cell. Number 3: VASP energy -0.36255 Ry per atom, total moment 0.00 μB per cell. Number 4: VASP energy -0.33419 Ry per atom, total moment 4.02 μB per cell. Number 5: VASP energy -0.40092 Ry per atom, total moment 0.00 μB per cell. Number 6: VASP energy -0.60186 Ry per atom, total moment 1.26 μB per cell. Number 7: VASP energy -0.45370 Ry per atom, total moment 0.00 μB per cell. Number 8: VASP energy -0.40396 Ry per atom, total moment 0.00 μB per cell. Number 9: VASP energy -0.36667 Ry per atom, total moment 0.00 μB per cell. Number 10: VASP energy -0.19377 Ry per atom, total moment 0.34 μB per cell. Number 11: VASP energy -0.25853 Ry per atom, total moment 0.00 μB per cell. Number 12: VASP energy -0.34072 Ry per atom, total moment 7.09 μB per cell.